The following is a DFT calculation (GGA-PBE) of a relaxed PrNdTm crystal.

abc: 5.502 5.502 5.502
angles: 60.00 60.00 60.00
Element x y z (fractional)
Tm  0.000  0.000  0.000
Nd  0.250  0.250  0.250
Pr  0.750  0.750  0.750

Formation energy from the elements = 0.67 eV/atom
Calculated volume = 118 Å³ per cell
SG = F-43m (216)
E above lowest polymorph = 0.000 eV per formula unit
Magnetic moment = 0.00 Bohr magnetons per cell